No. 1
VASP calculation (PBE) on a relaxed structure of LiHfSn2.

Cell and atoms, written as POSCAR:
```
LiHfSn2
1.0
-4.2055 0.2909 0.0814
-2.1156 -1.0090 3.5049
-1.6603 5.6672 3.1655
Li Hf Sn
1 1 2
Direct
0.4932 0.4932 0.5203
0.6710 0.6710 0.9871
0.0889 0.0889 0.7334
0.2469 0.2469 0.2592
```

Values from the calculation:
Distance to the lowest polymorph of the same formula: 15.7 kJ/mol of atoms
Raw total energy: -5.07 eV/atom
Energy of formation from the pure elements: -0.0978 eV per atom

=====

No. 2
VASP calculation (PBE) on a relaxed structure of Ac2TePt.

Cell and atoms, written as POSCAR:
```
Ac2TePt
1.0
3.9045 0.0000 0.0000
0.0000 3.9045 0.0000
0.0000 0.0000 8.0565
Ac Te Pt
2 1 1
Direct
0.0000 0.0000 0.7758
0.0000 0.0000 0.2242
0.5000 0.5000 0.5000
0.5000 0.5000 0.0000
```

Values from the calculation:
Distance to the lowest polymorph of the same formula: 20.0 kJ/mol of atoms
Raw total energy: -5.49 eV/atom
ΔE_f (raw): -1.142 eV per atom

=====

No. 3
VASP calculation (PBE) on a relaxed structure of Ce9TlGe2.

Cell and atoms, written as POSCAR:
```
Ce9TlGe2
1.0
-4.2644 -1.6601 -0.9878
-0.8937 -0.4269 4.5756
-5.1208 13.0261 0.2150
Ce Tl Ge
9 1 2
Direct
0.5000 0.5000 0.0000
0.5000 0.5000 0.3361
0.5000 0.5000 0.6639
0.5000 0.0000 0.1794
0.5000 0.0000 0.5000
0.5000 0.0000 0.8206
0.0000 0.5000 0.1794
0.0000 0.5000 0.5000
0.0000 0.5000 0.8206
0.0000 0.0000 0.0000
0.0000 0.0000 0.3382
0.0000 0.0000 0.6618
```

Values from the calculation:
Raw total energy: -5.73 eV/atom
Energy of formation from the pure elements: -0.3099 eV per atom

=====

No. 4
VASP calculation (PBE) on a relaxed structure of BaHg3Pt.

Cell and atoms, written as POSCAR:
```
BaHg3Pt
1.0
6.4191 0.0000 0.0000
0.0000 6.4191 0.0000
0.0000 0.0000 6.4191
Hg Pt Ba
3 1 1
Direct
0.0000 0.5000 0.0000
0.0000 0.0000 0.5000
0.5000 0.0000 0.0000
0.5000 0.5000 0.5000
0.0000 0.0000 0.0000
```

Values from the calculation:
Distance to the lowest polymorph of the same formula: 123.3 kJ/mol of atoms
Raw total energy: -0.88 eV/atom
Energy of formation from the pure elements: 0.8903 eV per atom

=====

No. 5
VASP calculation (PBE) on a relaxed structure of NdUAsN2.

Cell and atoms, written as POSCAR:
```
NdUAsN2
1.0
-0.2529 3.7811 0.6771
-3.4127 -0.5327 1.6998
4.6328 -2.4001 4.1899
Nd U As N
1 1 1 2
Direct
0.8532 0.8532 0.7065
0.1586 0.1586 0.3173
0.5145 0.5145 0.0290
0.7368 0.2368 0.4736
0.2368 0.7368 0.4736
```

Values from the calculation:
Raw total energy: -8.76 eV/atom
ΔE_f (raw): -1.289 eV per atom

=====

> Which value of raw total energy does entry 4 give?

-0.88 eV/atom

=====

> raw total energy of number 4 (BaHg3Pt)?

-0.88 eV/atom

=====

Repeat the fifth record exactly.
VASP calculation (PBE) on a relaxed structure of NdUAsN2.

Cell and atoms, written as POSCAR:
```
NdUAsN2
1.0
-0.2529 3.7811 0.6771
-3.4127 -0.5327 1.6998
4.6328 -2.4001 4.1899
Nd U As N
1 1 1 2
Direct
0.8532 0.8532 0.7065
0.1586 0.1586 0.3173
0.5145 0.5145 0.0290
0.7368 0.2368 0.4736
0.2368 0.7368 0.4736
```

Values from the calculation:
Raw total energy: -8.76 eV/atom
ΔE_f (raw): -1.289 eV per atom

=====

> Which of these has the lowest raw total energy?

NdUAsN2